{"formula": "MgAg2Au", "functional": "PBE-GGA", "state": "relaxed", "lattice": [[5.157, -0.033, -0.045], [1.935, 4.780, 0.045], [-3.523, -2.408, 2.896]], "species": ["Ag", "Ag", "Mg", "Au"], "fractional_positions": [[0.000, 0.000, 0.000], [0.500, 0.500, 0.000], [0.250, 0.750, 0.500], [0.750, 0.250, 0.500]], "n_ef_per_ev_atom": 0.330, "crystal_system": "tetragonal", "magnetic_moment_mub_per_fu": 0.00, "e_form_ev_per_fu": -1.1, "sg": "I4/mmm"}